Entry from the Alexandria database: Li2TlAg2 after structural relaxation (PBE).

Unit cell a=4.026 b=4.026 c=12.931 alpha=90.00 beta=90.00 gamma=90.00
Space group I4/mmm (No. 139)
Symmetry-distinct sites (fractional):
Li  0.000  0.500  0.250 [4 per cell]
Tl  0.000  0.000  0.000 [2 per cell]
Ag  0.000  0.000  0.391 [4 per cell]

Calculated values
* M_tot: 0.00 μB per formula unit
* relative energy among the computed polymorphs: 170 meV per atom
* crystal system: tetragonal
* formation energy: 11 meV per atom
* V: 210 Å³ per cell

***

Entry from the Alexandria database: UPaS2 after structural relaxation (PBE).

Unit cell a=3.8521 b=3.8521 c=19.3233 alpha=90.00 beta=90.00 gamma=120.00
Space group R-3m (No. 166, hexagonal axes)
Symmetry-distinct sites (fractional):
U  0.0000  0.0000  0.0000 [3 per cell]
Pa  0.0000  0.0000  0.5000 [3 per cell]
S  0.0000  0.0000  0.2513 [6 per cell]

Calculated values
* M_tot: 2.72 μB per formula unit
* relative energy among the computed polymorphs: 0 meV per atom
* crystal system: trigonal
* V: 248 Å³ per cell

***

Entry from the Alexandria database: CsAgP2Se8 after structural relaxation (PBE).

Unit cell a=11.929 b=5.882 c=11.382 alpha=90.00 beta=103.67 gamma=90.00
Space group C2/m (No. 12)
Symmetry-distinct sites (fractional):
Cs  0.000  0.000  0.000 [2 per cell]
Ag  0.000  0.500  0.500 [2 per cell]
P  0.219  0.000  0.685 [4 per cell]
Se  0.082  0.251  0.711 [8 per cell]
Se  0.120  0.500  0.178 [4 per cell]
Se  0.249  0.000  0.497 [4 per cell]

Calculated values
* M_tot: 0.00 μB per formula unit
* raw total energy: -3.68 eV per atom
* crystal system: monoclinic
* V: 776 Å³ per cell

***

Entry from the Alexandria database: Dy4ErPu after structural relaxation (PBE).

Unit cell a=15.270 b=3.505 c=7.036 alpha=90.00 beta=103.38 gamma=90.00
Space group C2/m (No. 12)
Symmetry-distinct sites (fractional):
Dy  0.163  0.000  0.334 [4 per cell]
Dy  0.166  0.000  0.831 [4 per cell]
Er  0.000  0.500  0.000 [2 per cell]
Pu  0.000  0.500  0.500 [2 per cell]

Calculated values
* M_tot: 6.02 μB per formula unit
* crystal system: monoclinic
* formation energy: 65 meV per atom
* V: 366 Å³ per cell

***

Entry from the Alexandria database: LaSc3P after structural relaxation (PBE).

Unit cell a=5.121 b=5.121 c=5.121 alpha=90.00 beta=90.00 gamma=90.00
Space group Pm-3m (No. 221)
Symmetry-distinct sites (fractional):
La  0.000  0.000  0.000 [1 per cell]
Sc  0.000  0.000  0.500 [3 per cell]
P  0.500  0.500  0.500 [1 per cell]

Calculated values
* M_tot: 0.00 μB per formula unit
* relative energy among the computed polymorphs: 1520 meV per atom
* crystal system: cubic
* formation energy: 1110 meV per atom
* V: 134 Å³ per cell

***

Entry from the Alexandria database: PuAlFe after structural relaxation (PBE).

Unit cell a=8.043 b=5.506 c=9.977 alpha=90.00 beta=90.00 gamma=90.00
Space group Cmce (No. 64)
Symmetry-distinct sites (fractional):
Pu  0.000  0.249  0.191 [8 per cell]
Al  0.249  0.000  0.500 [8 per cell]
Fe  0.000  0.249  0.938 [8 per cell]

Calculated values
* M_tot: 4.09 μB per formula unit
* crystal system: orthorhombic
* formation energy: -126 meV per atom
* V: 442 Å³ per cell

***

Entry from the Alexandria database: CsTeH after structural relaxation (PBE).

Unit cell a=5.937 b=5.893 c=6.854 alpha=90.00 beta=115.29 gamma=90.00
Space group Pm (No. 6)
Symmetry-distinct sites (fractional):
Cs  0.000  0.000  0.000 [1 per cell]
Cs  0.284  0.500  0.578 [1 per cell]
Te  0.606  0.500  0.215 [1 per cell]
Te  0.678  0.000  0.360 [1 per cell]
H  0.847  0.500  0.708 [1 per cell]
H  0.902  0.500  0.831 [1 per cell]

Calculated values
* M_tot: 0.00 μB per formula unit
* relative energy among the computed polymorphs: 18 meV per atom
* crystal system: monoclinic
* V: 217 Å³ per cell

***

Entry from the Alexandria database: Mn3InP after structural relaxation (PBE).

Unit cell a=4.985 b=4.985 c=4.985 alpha=90.00 beta=90.00 gamma=90.00
Space group Pm-3m (No. 221)
Symmetry-distinct sites (fractional):
Mn  0.000  0.000  0.500 [3 per cell]
In  0.000  0.000  0.000 [1 per cell]
P  0.500  0.500  0.500 [1 per cell]

Calculated values
* M_tot: 12.72 μB per formula unit
* relative energy among the computed polymorphs: 1247 meV per atom
* crystal system: cubic
* formation energy: 1381 meV per atom
* V: 124 Å³ per cell

***

Entry from the Alexandria database: Co2AgRh after structural relaxation (PBE).

Unit cell a=2.772 b=4.493 c=8.982 alpha=90.00 beta=90.00 gamma=90.00
Space group Cmmm (No. 65)
Symmetry-distinct sites (fractional):
Co  0.000  0.000  0.237 [4 per cell]
Ag  0.000  0.500  0.500 [2 per cell]
Rh  0.000  0.500  0.000 [2 per cell]

Calculated values
* M_tot: 4.35 μB per formula unit
* crystal system: orthorhombic
* formation energy: 356 meV per atom
* V: 112 Å³ per cell

***

Entry from the Alexandria database: Tb4Nd3Pt4 after structural relaxation (PBE).

Unit cell a=4.633 b=7.840 c=15.700 alpha=90.00 beta=90.00 gamma=90.00
Space group Immm (No. 71)
Symmetry-distinct sites (fractional):
Tb  0.000  0.212  0.171 [8 per cell]
Nd  0.000  0.000  0.399 [4 per cell]
Nd  0.000  0.500  0.500 [2 per cell]
Pt  0.000  0.314  0.000 [4 per cell]
Pt  0.000  0.500  0.292 [4 per cell]

Calculated values
* M_tot: 0.00 μB per formula unit
* crystal system: orthorhombic
* formation energy: -870 meV per atom
* V: 570 Å³ per cell

***

Entry from the Alexandria database: CsCdIn2Cu after structural relaxation (PBE).

Unit cell a=5.338 b=5.338 c=5.443 alpha=90.00 beta=90.00 gamma=90.00
Space group P4/mmm (No. 123)
Symmetry-distinct sites (fractional):
Cs  0.000  0.000  0.000 [1 per cell]
Cd  0.500  0.500  0.000 [1 per cell]
In  0.000  0.500  0.500 [2 per cell]
Cu  0.500  0.500  0.500 [1 per cell]

Calculated values
* M_tot: 0.00 μB per formula unit
* crystal system: tetragonal
* formation energy: 94 meV per atom
* V: 155 Å³ per cell

***

Entry from the Alexandria database: CoRuCl after structural relaxation (PBE).

Unit cell a=5.721 b=5.721 c=5.721 alpha=90.00 beta=90.00 gamma=90.00
Space group F-43m (No. 216)
Symmetry-distinct sites (fractional):
Co  0.000  0.000  0.000 [4 per cell]
Ru  0.250  0.250  0.750 [4 per cell]
Cl  0.000  0.000  0.500 [4 per cell]

Calculated values
* M_tot: 0.00 μB per formula unit
* relative energy among the computed polymorphs: 386 meV per atom
* crystal system: cubic
* V: 187 Å³ per cell